# 1
InRuBr2: PBEsol geometry, meta-GGA SCAN.

Its offset from the most stable computed form is 0 meV per atom. The calculation puts the size of the total moment at 0.8 μB/f.u. For the density of states at the Fermi level, the calculation gives 0.25 states/eV/atom. For the uncorrected formation energy, the calculation gives 0.1091 eV/atom. The volume comes out at 187 Å³/cell.

The space group is Cmm2 (No. 35) and the conventional cell measures 3.430, 6.026 and 9.042 Å, with angles of 90.00, 90.00 and 90.00 degrees. Symmetry generates all atoms from In at (0.000, 0.000, 0.000), Ru at (0.000, 0.500, 0.226), Br at (0.000, 0.000, 0.415) and Br at (0.000, 0.500, 0.769).

# 2
Sr2Li2Ca: PBEsol geometry, meta-GGA SCAN.

Its offset from the most stable computed form is 110 meV per atom. The calculation puts the size of the total moment at 0.8 μB/f.u. For the density of states at the Fermi level, the calculation gives 0.83 states/eV/atom. The volume comes out at 376 Å³/cell.

The space group is P4/mbm (No. 127) and the conventional cell measures 9.915, 9.915 and 3.828 Å, with angles of 90.00, 90.00 and 90.00 degrees. Symmetry generates all atoms from Sr at (0.139, 0.361, 0.000), Li at (0.158, 0.658, 0.500) and Ca at (0.000, 0.000, 0.000).

# 3
SrNiTe2: PBEsol geometry, meta-GGA SCAN.

The calculation puts the size of the total moment at 0.0 μB/f.u. For the density of states at the Fermi level, the calculation gives 0.22 states/eV/atom. For the uncorrected formation energy, the calculation gives -0.8662 eV/atom. The volume comes out at 413 Å³/cell.

The space group is I-42d (No. 122) and the conventional cell measures 7.800, 7.800 and 6.794 Å, with angles of 90.00, 90.00 and 90.00 degrees. Symmetry generates all atoms from Sr at (0.000, 0.000, 0.000), Ni at (0.000, 0.000, 0.500) and Te at (0.162, 0.250, 0.625).

# 4
BeCu5: PBEsol geometry, meta-GGA SCAN.

Its offset from the most stable computed form is 30 meV per atom. The calculation puts the size of the total moment at 0.0 μB/f.u. For the density of states at the Fermi level, the calculation gives 0.30 states/eV/atom. The volume comes out at 128 Å³/cell.

The space group is Amm2 (No. 38) and the conventional cell measures 4.033, 2.498 and 12.750 Å, with angles of 90.00, 90.00 and 90.00 degrees. Symmetry generates all atoms from Be at (0.000, 0.000, 0.000), Cu at (0.000, 0.000, 0.339), Cu at (0.000, 0.000, 0.661), Cu at (0.500, 0.000, 0.221), Cu at (0.500, 0.000, 0.552) and Cu at (0.500, 0.000, 0.889).

# 5
ZnCrP2: PBEsol geometry, meta-GGA SCAN.

The calculation puts the size of the total moment at 2.2 μB/f.u. Its raw total energy is -12.9579 eV per atom. For the density of states at the Fermi level, the calculation gives 0.53 states/eV/atom. The volume comes out at 102 Å³/cell.

The space group is Immm (No. 71) and the conventional cell measures 3.456, 4.259 and 6.952 Å, with angles of 90.00, 90.00 and 90.00 degrees. Symmetry generates all atoms from Zn at (0.000, 0.000, 0.000), Cr at (0.000, 0.000, 0.500) and P at (0.000, 0.500, 0.253).

# 6
CrH2Ir: PBEsol geometry, meta-GGA SCAN.

The calculation puts the size of the total moment at 3.4 μB/f.u. Its raw total energy is -23.5335 eV per atom. For the density of states at the Fermi level, the calculation gives 0.52 states/eV/atom. The volume comes out at 136 Å³/cell.

The space group is Fm-3m (No. 225) and the conventional cell measures 5.148, 5.148 and 5.148 Å, with angles of 90.00, 90.00 and 90.00 degrees. Symmetry generates all atoms from Cr at (0.000, 0.000, 0.000), H at (0.250, 0.250, 0.250) and Ir at (0.000, 0.000, 0.500).

# 7
Y2MoRh: PBEsol geometry, meta-GGA SCAN.

The calculation puts the size of the total moment at 0.0 μB/f.u. Its raw total energy is -30.9867 eV per atom. For the density of states at the Fermi level, the calculation gives 1.10 states/eV/atom. The volume comes out at 159 Å³/cell.

The space group is I-4m2 (No. 119) and the conventional cell measures 3.991, 3.991 and 10.012 Å, with angles of 90.00, 90.00 and 90.00 degrees. Symmetry generates all atoms from Y at (0.000, 0.000, 0.000), Y at (0.000, 0.500, 0.250), Mo at (0.000, 0.000, 0.500) and Rh at (0.000, 0.500, 0.750).

# 8
Ce8AlPd24: PBEsol geometry, meta-GGA SCAN.

The calculation puts the size of the total moment at 5.7 μB/f.u. Its raw total energy is -35.7190 eV per atom. For the density of states at the Fermi level, the calculation gives 1.12 states/eV/atom. The volume comes out at 569 Å³/cell.

The space group is Pm-3m (No. 221) and the conventional cell measures 8.286, 8.286 and 8.286 Å, with angles of 90.00, 90.00 and 90.00 degrees. Symmetry generates all atoms from Ce at (0.250, 0.250, 0.250), Al at (0.000, 0.000, 0.000), Pd at (0.000, 0.000, 0.295), Pd at (0.000, 0.261, 0.500) and Pd at (0.254, 0.500, 0.500).

# 9
BaHf2FeCu: PBEsol geometry, meta-GGA SCAN.

The calculation puts the size of the total moment at 0.0 μB/f.u. Its raw total energy is -39.1609 eV per atom. For the density of states at the Fermi level, the calculation gives 0.51 states/eV/atom. The volume comes out at 111 Å³/cell.

The space group is P4/mmm (No. 123) and the conventional cell measures 4.709, 4.709 and 4.999 Å, with angles of 90.00, 90.00 and 90.00 degrees. Symmetry generates all atoms from Ba at (0.000, 0.000, 0.000), Hf at (0.000, 0.500, 0.500), Fe at (0.500, 0.500, 0.500) and Cu at (0.500, 0.500, 0.000).

# 10
Cr3Re: PBEsol geometry, meta-GGA SCAN.

The calculation puts the size of the total moment at 0.4 μB/f.u. Its raw total energy is -31.6565 eV per atom. For the density of states at the Fermi level, the calculation gives 0.57 states/eV/atom. The volume comes out at 194 Å³/cell.

The space group is Cmcm (No. 63) and the conventional cell measures 5.798, 8.201 and 4.072 Å, with angles of 90.00, 90.00 and 90.00 degrees. Symmetry generates all atoms from Cr at (0.000, 0.123, 0.250), Cr at (0.243, 0.124, 0.750) and Re at (0.000, 0.373, 0.750).

# 11
AlAg3H: PBEsol geometry, meta-GGA SCAN.

The calculation puts the size of the total moment at 0.0 μB/f.u. Its raw total energy is -20.8812 eV per atom. For the density of states at the Fermi level, the calculation gives 0.22 states/eV/atom. The volume comes out at 69 Å³/cell.

The space group is Pm-3m (No. 221) and the conventional cell measures 4.093, 4.093 and 4.093 Å, with angles of 90.00, 90.00 and 90.00 degrees. Symmetry generates all atoms from Al at (0.000, 0.000, 0.000), Ag at (0.000, 0.500, 0.500) and H at (0.500, 0.500, 0.500).

# 12
LiYAu: PBEsol geometry, meta-GGA SCAN.

Its offset from the most stable computed form is 514 meV per atom. The calculation puts the size of the total moment at 0.0 μB/f.u. For the density of states at the Fermi level, the calculation gives 0.91 states/eV/atom. The volume comes out at 291 Å³/cell.

The space group is F-43m (No. 216) and the conventional cell measures 6.627, 6.627 and 6.627 Å, with angles of 90.00, 90.00 and 90.00 degrees. Symmetry generates all atoms from Li at (0.000, 0.000, 0.000), Y at (0.250, 0.250, 0.750) and Au at (0.000, 0.000, 0.500).

# 13
Li2InGa2: PBEsol geometry, meta-GGA SCAN.

The calculation puts the size of the total moment at 0.0 μB/f.u. Its raw total energy is -14.4230 eV per atom. For the density of states at the Fermi level, the calculation gives 0.36 states/eV/atom. The volume comes out at 174 Å³/cell.

The space group is P4/mbm (No. 127) and the conventional cell measures 7.471, 7.471 and 3.110 Å, with angles of 90.00, 90.00 and 90.00 degrees. Symmetry generates all atoms from Li at (0.177, 0.323, 0.000), In at (0.000, 0.000, 0.500) and Ga at (0.121, 0.621, 0.500).

# 14
ZrTlRe3: PBEsol geometry, meta-GGA SCAN.

The calculation puts the size of the total moment at 1.9 μB/f.u. Its raw total energy is -60.4335 eV per atom. For the density of states at the Fermi level, the calculation gives 0.83 states/eV/atom. The volume comes out at 111 Å³/cell.

The space group is Pm-3m (No. 221) and the conventional cell measures 4.810, 4.810 and 4.810 Å, with angles of 90.00, 90.00 and 90.00 degrees. Symmetry generates all atoms from Zr at (0.000, 0.000, 0.000), Tl at (0.500, 0.500, 0.500) and Re at (0.000, 0.500, 0.500).

# 15
Sc2BeTl: PBEsol geometry, meta-GGA SCAN.

Its offset from the most stable computed form is 163 meV per atom. The calculation puts the size of the total moment at 0.0 μB/f.u. For the density of states at the Fermi level, the calculation gives 0.67 states/eV/atom. The volume comes out at 245 Å³/cell.

The space group is R-3m (No. 166, hexagonal axes) and the conventional cell measures 3.3426, 3.3426 and 25.3288 Å, with angles of 90.00, 90.00 and 120.00 degrees. Symmetry generates all atoms from Sc at (0.0000, 0.0000, 0.2366), Be at (0.0000, 0.0000, 0.5000) and Tl at (0.0000, 0.0000, 0.0000).

# 16
TlIn2GaBr: PBEsol geometry, meta-GGA SCAN.

The calculation puts the size of the total moment at 0.0 μB/f.u. For the density of states at the Fermi level, the calculation gives 0.68 states/eV/atom. For the uncorrected formation energy, the calculation gives 0.3825 eV/atom. The volume comes out at 179 Å³/cell.

The space group is P4/mmm (No. 123) and the conventional cell measures 5.762, 5.762 and 5.395 Å, with angles of 90.00, 90.00 and 90.00 degrees. Symmetry generates all atoms from Tl at (0.000, 0.000, 0.000), In at (0.000, 0.500, 0.500), Ga at (0.500, 0.500, 0.000) and Br at (0.500, 0.500, 0.500).

# 17
YFe2Pb: PBEsol geometry, meta-GGA SCAN.

The calculation puts the size of the total moment at 4.6 μB/f.u. Its raw total energy is -34.6886 eV per atom. For the density of states at the Fermi level, the calculation gives 1.07 states/eV/atom. The volume comes out at 74 Å³/cell.

The space group is P4/mmm (No. 123) and the conventional cell measures 3.465, 3.465 and 6.143 Å, with angles of 90.00, 90.00 and 90.00 degrees. Symmetry generates all atoms from Y at (0.000, 0.000, 0.000), Fe at (0.500, 0.500, 0.296) and Pb at (0.000, 0.000, 0.500).

# 18
AlRhAu2O: PBEsol geometry, meta-GGA SCAN.

The calculation puts the size of the total moment at 0.0 μB/f.u. For the density of states at the Fermi level, the calculation gives 0.51 states/eV/atom. For the uncorrected formation energy, the calculation gives 0.3198 eV/atom. The volume comes out at 78 Å³/cell.

The space group is P4/mmm (No. 123) and the conventional cell measures 4.485, 4.485 and 3.898 Å, with angles of 90.00, 90.00 and 90.00 degrees. Symmetry generates all atoms from Al at (0.000, 0.000, 0.000), Rh at (0.500, 0.500, 0.000), Au at (0.000, 0.500, 0.500) and O at (0.500, 0.500, 0.500).

# 19
SbTe2ICl: PBEsol geometry, meta-GGA SCAN.

The calculation puts the size of the total moment at 0.3 μB/f.u. For the density of states at the Fermi level, the calculation gives 0.97 states/eV/atom. For the uncorrected formation energy, the calculation gives 0.9355 eV/atom. The volume comes out at 192 Å³/cell.

The space group is P4/mmm (No. 123) and the conventional cell measures 5.725, 5.725 and 5.855 Å, with angles of 90.00, 90.00 and 90.00 degrees. Symmetry generates all atoms from Sb at (0.000, 0.000, 0.000), Te at (0.000, 0.500, 0.500), I at (0.000, 0.000, 0.500) and Cl at (0.500, 0.500, 0.000).

# 20
Na3CrW: PBEsol geometry, meta-GGA SCAN.

The calculation puts the size of the total moment at 10.7 μB/f.u. Its raw total energy is -18.2398 eV per atom. For the density of states at the Fermi level, the calculation gives 0.54 states/eV/atom. The volume comes out at 166 Å³/cell.

The space group is Pm-3m (No. 221) and the conventional cell measures 5.496, 5.496 and 5.496 Å, with angles of 90.00, 90.00 and 90.00 degrees. Symmetry generates all atoms from Na at (0.000, 0.000, 0.500), Cr at (0.000, 0.000, 0.000) and W at (0.500, 0.500, 0.500).